1.
Pr12Dy5Y: relaxed, GGA-PBE.

## Properties
- Crystal system: monoclinic
- Formation energy: 0.02 eV per atom
- E: -86.453 eV per formula unit
- Spin magnetization: 0.00 μB per atom

Unit cell a=15.4965 b=10.9745 c=5.1904 alpha=90.00 beta=89.99 gamma=45.17
Fractional coordinates of all 18 atoms:
Dy: 0.6669 0.6663 0.0000
Pr: 0.6681 0.3339 0.0000
Pr: 0.6646 0.9998 0.0000
Pr: 0.8346 0.0000 0.5000
Pr: 0.0019 0.6662 0.0000
Dy: 0.1667 0.6665 0.5000
Pr: 0.1689 0.3336 0.5000
Pr: 0.1654 0.0000 0.5000
Y: 0.0000 0.0000 0.0000
Dy: 0.8333 0.3335 0.5000
Pr: 0.3319 0.6661 0.0000
Pr: 0.9981 0.3338 0.0000
Dy: 0.5000 0.0000 0.5000
Pr: 0.5024 0.6667 0.5000
Dy: 0.3331 0.3337 0.0000
Pr: 0.8311 0.6664 0.5000
Pr: 0.4976 0.3333 0.5000
Pr: 0.3354 0.0002 0.0000

=====

2.
Sc2MoH: relaxed, GGA-PBE.

## Properties
- Crystal system: trigonal
- E: -25.589 eV per formula unit
- Energy above the most stable polymorph in this dataset: 0.1453 eV/atom
- Spin magnetization: 0.01 μB per atom

Unit cell a=8.2009 b=8.2009 c=8.2009 alpha=23.14 beta=23.14 gamma=23.14
Fractional coordinates of all 4 atoms:
Sc: 0.0834 0.0834 0.0834
Sc: 0.9166 0.9166 0.9166
H: 0.0000 0.0000 0.0000
Mo: 0.5000 0.5000 0.5000

=====

3.
SrTaAs: relaxed, GGA-PBE.

## Properties
- Crystal system: hexagonal
- Formation energy: 0.05 eV per atom
- E: -18.032 eV per formula unit
- Energy above the most stable polymorph in this dataset: 0.6816 eV/atom
- Spin magnetization: 0.43 μB per atom

Unit cell a=4.4393 b=4.4393 c=4.7680 alpha=90.00 beta=90.00 gamma=120.00
Fractional coordinates of all 3 atoms:
Ta: 0.3333 0.6667 0.8333
As: 0.0000 0.0000 0.8333
Sr: 0.6667 0.3333 0.3333

=====

4.
Cs3Tl2Sb2: relaxed, GGA-PBE.

## Properties
- Crystal system: orthorhombic
- E: -17.535 eV per formula unit
- E_form (uncorrected): -0.2853 eV/atom
- Spin magnetization: 0.01 μB per atom

Unit cell a=6.0499 b=4.8418 c=12.2419 alpha=101.41 beta=104.31 gamma=90.00
Fractional coordinates of all 7 atoms:
Cs: 0.8123 0.3123 0.6245
Sb: 0.3628 0.8628 0.7256
Tl: 0.4355 0.4355 0.8710
Sb: 0.6372 0.1372 0.2744
Tl: 0.5645 0.5645 0.1290
Cs: 0.1877 0.6877 0.3755
Cs: 0.0000 0.0000 0.0000

=====

5.
Cs3Cu2I4: relaxed, GGA-PBE.

## Properties
- Crystal system: monoclinic
- E: -24.269 eV per formula unit
- E_form (uncorrected): -0.8128 eV/atom
- Spin magnetization: 0.00 μB per atom

Unit cell a=8.9935 b=10.5558 c=10.5558 alpha=54.01 beta=92.72 gamma=92.72
Fractional coordinates of all 18 atoms:
Cs: 0.9457 0.0036 0.2812
Cs: 0.2500 0.5226 0.4774
I: 0.2302 0.2878 0.2956
I: 0.2698 0.7044 0.7122
Cs: 0.4457 0.2812 0.0036
I: 0.4718 0.1497 0.7224
I: 0.7698 0.7122 0.7044
Cs: 0.0543 0.9964 0.7188
Cu: 0.0126 0.5231 0.8729
Cs: 0.7500 0.4774 0.5226
I: 0.9718 0.7224 0.1497
Cu: 0.9874 0.4769 0.1271
I: 0.5282 0.8503 0.2776
I: 0.0282 0.2776 0.8503
Cs: 0.5543 0.7188 0.9964
I: 0.7302 0.2956 0.2878
Cu: 0.5126 0.8729 0.5231
Cu: 0.4874 0.1271 0.4769

=====

6.
Ce2Ho12Tm5: relaxed, GGA-PBE.

## Properties
- Crystal system: triclinic
- Formation energy: 0.10 eV per atom
- E: -87.174 eV per formula unit
- Energy above the most stable polymorph in this dataset: 0.0000 eV/atom
- Spin magnetization: 0.00 μB per atom

Unit cell a=6.1278 b=10.0149 c=11.2654 alpha=121.74 beta=92.54 gamma=92.71
Fractional coordinates of all 19 atoms:
Ho: 0.8894 0.3559 0.5281
Ho: 0.9131 0.3283 0.1569
Ho: 0.5266 0.0062 0.6599
Tm: 0.4224 0.3329 0.3393
Ho: 0.6120 0.6617 0.3314
Ho: 0.4734 0.9938 0.3401
Tm: 0.0000 0.0000 0.5000
Ho: 0.0869 0.6717 0.8431
Ho: 0.4034 0.3291 0.9949
Tm: 0.5776 0.6671 0.6607
Ho: 0.3880 0.3383 0.6686
Ho: 0.9524 0.0327 0.2350
Tm: 0.9017 0.3334 0.8359
Ce: 0.7003 0.9742 0.9589
Ho: 0.5966 0.6709 0.0051
Ho: 0.1106 0.6441 0.4719
Ce: 0.2997 0.0258 0.0411
Tm: 0.0983 0.6666 0.1641
Ho: 0.0476 0.9673 0.7650

=====

7.
PaNi2Au10: relaxed, GGA-PBE.

## Properties
- Crystal system: orthorhombic
- Formation energy: -0.08 eV per atom
- E: -54.911 eV per formula unit
- Spin magnetization: 0.06 μB per atom

Unit cell a=5.4322 b=6.9306 c=7.4235 alpha=81.76 beta=68.54 gamma=66.93
Fractional coordinates of all 13 atoms:
Au: 0.0193 0.6490 0.3124
Au: 0.4910 0.2197 0.7983
Au: 0.3317 0.6490 0.6876
Au: 0.2893 0.2197 0.2017
Au: 0.7107 0.7803 0.7983
Au: 0.9807 0.3510 0.6876
Ni: 0.5000 0.5000 0.0000
Pa: 0.0000 0.0000 0.0000
Au: 0.6683 0.3510 0.3124
Au: 0.5000 0.0000 0.5000
Ni: 0.0000 0.5000 0.0000
Au: 0.0000 0.0000 0.5000
Au: 0.5090 0.7803 0.2017

=====

8.
Co3PtRh: relaxed, GGA-PBE.

## Properties
- Crystal system: orthorhombic
- Formation energy: 0.49 eV per atom
- E: -32.263 eV per formula unit
- Energy above the most stable polymorph in this dataset: 0.4226 eV/atom
- Spin magnetization: 1.41 μB per atom

Unit cell a=8.8833 b=8.8833 c=3.7508 alpha=90.00 beta=90.00 gamma=149.39
Fractional coordinates of all 10 atoms:
Co: 0.7215 0.7215 0.5000
Pt: 0.1163 0.8837 0.5000
Co: 0.0000 0.5000 0.5000
Co: 0.2092 0.7908 0.0000
Rh: 0.3629 0.6371 0.0000
Co: 0.5000 0.0000 0.5000
Rh: 0.6371 0.3629 0.0000
Co: 0.7908 0.2092 0.0000
Co: 0.2785 0.2785 0.5000
Pt: 0.8837 0.1163 0.5000

=====

9.
AgIrRu: relaxed, GGA-PBE.

## Properties
- Crystal system: trigonal
- Formation energy: 0.24 eV per atom
- E: -20.254 eV per formula unit
- Energy above the most stable polymorph in this dataset: 0.0000 eV/atom
- Spin magnetization: 0.00 μB per atom

Unit cell a=2.7511 b=2.7511 c=7.0023 alpha=90.00 beta=90.00 gamma=120.00
Fractional coordinates of all 3 atoms:
Ag: 0.0000 0.0000 0.9985
Ir: 0.6667 0.3333 0.3506
Ru: 0.3333 0.6667 0.6509

=====

10.
LaAl3: relaxed, GGA-PBE.

## Properties
- Crystal system: hexagonal
- Formation energy: -0.45 eV per atom
- E: -17.952 eV per formula unit
- Spin magnetization: 0.00 μB per atom

Unit cell a=6.6470 b=6.6470 c=4.6617 alpha=90.00 beta=90.00 gamma=119.98
Fractional coordinates of all 8 atoms:
La: 0.6666 0.3334 0.7500
Al: 0.1381 0.2765 0.7500
Al: 0.7235 0.8619 0.7500
Al: 0.1382 0.8618 0.7500
La: 0.3334 0.6666 0.2500
Al: 0.8619 0.7235 0.2500
Al: 0.8618 0.1382 0.2500
Al: 0.2765 0.1381 0.2500

=====

11.
GaAg2Te3: relaxed, GGA-PBE.

## Properties
- Crystal system: monoclinic
- E: -18.652 eV per formula unit
- Energy above the most stable polymorph in this dataset: 0.0921 eV/atom
- E_form (uncorrected): -0.0829 eV/atom
- Spin magnetization: 0.00 μB per atom

Unit cell a=7.3686 b=7.5287 c=7.5287 alpha=56.86 beta=94.36 gamma=94.36
Fractional coordinates of all 12 atoms:
Te: 0.9264 0.8840 0.8259
Ag: 0.1537 0.5078 0.1282
Te: 0.0736 0.1160 0.1741
Ga: 0.2500 0.1308 0.8692
Te: 0.7500 0.5015 0.4985
Te: 0.4264 0.8259 0.8840
Te: 0.5736 0.1741 0.1160
Ga: 0.7500 0.8692 0.1308
Ag: 0.6537 0.1282 0.5078
Ag: 0.8463 0.4922 0.8718
Te: 0.2500 0.4985 0.5015
Ag: 0.3463 0.8718 0.4922

=====

12.
ZrMnFeCo: relaxed, GGA-PBE.

## Properties
- Crystal system: cubic
- Formation energy: -0.06 eV per atom
- E: -33.539 eV per formula unit
- Spin magnetization: 1.17 μB per atom

Unit cell a=4.2774 b=4.2774 c=4.2774 alpha=60.00 beta=60.00 gamma=60.00
Fractional coordinates of all 4 atoms:
Fe: 0.5000 0.5000 0.5000
Zr: 0.2500 0.2500 0.2500
Co: 0.0000 0.0000 0.0000
Mn: 0.7500 0.7500 0.7500

=====

13.
La2CoCu2: relaxed, GGA-PBE.

## Properties
- Crystal system: monoclinic
- Formation energy: -0.14 eV per atom
- E: -25.850 eV per formula unit
- Spin magnetization: 0.00 μB per atom

Unit cell a=3.9335 b=5.7874 c=10.4393 alpha=86.88 beta=79.15 gamma=70.19
Fractional coordinates of all 10 atoms:
La: 0.9121 0.2955 0.8788
Cu: 0.9623 0.6616 0.4141
Co: 0.5751 0.1528 0.6969
La: 0.0879 0.7045 0.1212
Cu: 0.0377 0.3384 0.5859
La: 0.2927 0.7756 0.6391
Cu: 0.6176 0.8753 0.8874
Cu: 0.3824 0.1247 0.1126
La: 0.7073 0.2244 0.3609
Co: 0.4249 0.8472 0.3031

=====

14.
Y2NbRh: relaxed, GGA-PBE.

## Properties
- Crystal system: tetragonal
- Formation energy: 0.23 eV per atom
- E: -29.448 eV per formula unit
- Energy above the most stable polymorph in this dataset: 0.2483 eV/atom
- Spin magnetization: 0.00 μB per atom

Unit cell a=7.8746 b=7.8746 c=6.3438 alpha=51.64 beta=51.64 gamma=90.00
Fractional coordinates of all 8 atoms:
Rh: 0.0000 0.0000 0.0000
Y: 0.8750 0.9154 0.7500
Nb: 0.5000 0.5000 0.0000
Y: 0.0846 0.6250 0.2500
Rh: 0.7500 0.2500 0.5000
Y: 0.6654 0.1250 0.2500
Nb: 0.2500 0.7500 0.5000
Y: 0.3750 0.3346 0.7500

=====

15.
Al2Zn2Au: relaxed, GGA-PBE.

## Properties
- Crystal system: tetragonal
- Formation energy: 0.13 eV per atom
- E: -12.668 eV per formula unit
- Energy above the most stable polymorph in this dataset: 0.1525 eV/atom
- Spin magnetization: 0.00 μB per atom

Unit cell a=3.8045 b=3.8045 c=6.6711 alpha=73.43 beta=73.43 gamma=90.00
Fractional coordinates of all 5 atoms:
Zn: 0.4011 0.4011 0.1977
Au: 0.0000 0.0000 0.0000
Al: 0.2500 0.7500 0.5000
Zn: 0.5989 0.5989 0.8023
Al: 0.7500 0.2500 0.5000

=====

16.
Cu2SeBr: relaxed, GGA-PBE.

## Properties
- Crystal system: monoclinic
- E: -14.081 eV per formula unit
- Energy above the most stable polymorph in this dataset: 0.0138 eV/atom
- E_form (uncorrected): -0.1828 eV/atom
- Spin magnetization: 0.00 μB per atom

Unit cell a=3.8130 b=3.8137 c=6.4004 alpha=90.25 beta=90.00 gamma=90.00
Fractional coordinates of all 4 atoms:
Cu: 0.5000 0.3751 0.1379
Se: 0.0000 0.3767 0.3648
Cu: 0.0000 0.8750 0.1379
Br: 0.5000 0.8732 0.8594

=====

17.
AcGa2Br6: relaxed, GGA-PBE.

## Properties
- Crystal system: monoclinic
- E: -30.967 eV per formula unit
- E_form (uncorrected): -1.1964 eV/atom
- Spin magnetization: 0.00 μB per atom

Unit cell a=9.5654 b=8.8762 c=8.8762 alpha=108.59 beta=80.02 gamma=80.02
Fractional coordinates of all 18 atoms:
Br: 0.5802 0.3095 0.3106
Br: 0.0885 0.8137 0.0340
Ac: 0.2500 0.0629 0.9371
Br: 0.7078 0.5952 0.0522
Br: 0.4115 0.9660 0.1863
Ga: 0.2760 0.2599 0.4656
Br: 0.9198 0.6894 0.6905
Br: 0.5885 0.0340 0.8137
Ac: 0.7500 0.9371 0.0629
Ga: 0.7760 0.4656 0.2599
Ga: 0.2240 0.5344 0.7401
Br: 0.9115 0.1863 0.9660
Br: 0.7922 0.9478 0.4048
Br: 0.4198 0.6905 0.6894
Br: 0.0802 0.3106 0.3095
Ga: 0.7240 0.7401 0.5344
Br: 0.2078 0.0522 0.5952
Br: 0.2922 0.4048 0.9478

=====

18.
NbGeRu: relaxed, GGA-PBE.

## Properties
- Crystal system: orthorhombic
- Formation energy: -0.22 eV per atom
- E: -24.620 eV per formula unit
- Spin magnetization: 0.00 μB per atom

Unit cell a=4.7010 b=5.0972 c=7.9567 alpha=90.00 beta=90.00 gamma=90.00
Fractional coordinates of all 12 atoms:
Ru: 0.7500 0.3210 0.9199
Ge: 0.2500 0.6938 0.2625
Ge: 0.2500 0.1938 0.7625
Ru: 0.2500 0.6790 0.9199
Ru: 0.7500 0.8210 0.4199
Nb: 0.2500 0.1847 0.0925
Nb: 0.2500 0.6847 0.5925
Ge: 0.7500 0.3062 0.2625
Nb: 0.7500 0.8153 0.0925
Nb: 0.7500 0.3153 0.5925
Ge: 0.7500 0.8062 0.7625
Ru: 0.2500 0.1790 0.4199

=====

19.
Cd2CuTe: relaxed, GGA-PBE.

## Properties
- Crystal system: monoclinic
- E: -8.997 eV per formula unit
- E_form (uncorrected): 0.0177 eV/atom
- Spin magnetization: 0.00 μB per atom

Unit cell a=4.2458 b=4.2458 c=6.7423 alpha=73.38 beta=73.38 gamma=57.62
Fractional coordinates of all 4 atoms:
Cd: 0.2371 0.2371 0.2906
Cu: 0.4926 0.4926 0.5206
Te: 0.7707 0.7707 0.6749
Cd: 0.9996 0.9996 0.0140

=====

20.
TiGaTcO6: relaxed, GGA-PBE.

## Properties
- Crystal system: trigonal
- E: -68.270 eV per formula unit
- E_form (uncorrected): -1.9148 eV/atom
- Spin magnetization: 0.22 μB per atom

Unit cell a=4.9918 b=4.9918 c=8.7834 alpha=90.00 beta=90.00 gamma=120.00
Fractional coordinates of all 18 atoms:
O: 0.9939 0.3239 0.1284
O: 0.0061 0.6761 0.8716
O: 0.6761 0.6700 0.1284
Tc: 0.0000 0.0000 0.5000
O: 0.6761 0.0061 0.3716
O: 0.9939 0.6700 0.3716
Ga: 0.6667 0.3333 0.7500
Ga: 0.3333 0.6667 0.2500
Ti: 0.3333 0.6667 0.7500
O: 0.3239 0.9939 0.6284
O: 0.6700 0.9939 0.8716
Tc: 0.0000 0.0000 0.0000
Ti: 0.6667 0.3333 0.2500
O: 0.3300 0.3239 0.3716
O: 0.3239 0.3300 0.8716
O: 0.0061 0.3300 0.6284
O: 0.6700 0.6761 0.6284
O: 0.3300 0.0061 0.1284